No. 1
KCaCoF6 | GGA+U | optimized geometry

It has space group Imma (No. 74), with a = 7.242 Å, b = 7.519 Å, c = 9.800 Å, α = 90.00°, β = 90.00° and γ = 90.00°. The inequivalent atoms are K at (0.000, 0.250, 0.099), Ca at (0.000, 0.000, 0.500), Co at (0.250, 0.250, 0.750), F at (0.000, 0.250, 0.379), F at (0.000, 0.250, 0.684) and F at (0.216, 0.076, 0.881).

The calculation puts the total energy at -4.932 eV per atom.

---

No. 2
KCaCo2F8 | GGA+U | optimized geometry

It has space group R-3 (No. 148, hexagonal axes), with a = 5.6728 Å, b = 5.6728 Å, c = 20.7801 Å, α = 90.00°, β = 90.00° and γ = 120.00°. The inequivalent atoms are K at (0.0000, 0.0000, 0.0000), Ca at (0.0000, 0.0000, 0.5000), Co at (0.0000, 0.0000, 0.2493), F at (0.0000, 0.0000, 0.3375) and F at (0.0054, 0.6844, 0.7759).

The calculation puts the total energy at -4.882 eV per atom.

---

No. 3
KCaCoF | GGA+U | optimized geometry

It has space group R3m (No. 160, hexagonal axes), with a = 3.7146 Å, b = 3.7146 Å, c = 24.4743 Å, α = 90.00°, β = 90.00° and γ = 120.00°. The inequivalent atoms are K at (0.0000, 0.0000, 0.0000), Ca at (0.0000, 0.0000, 0.5271), Co at (0.0000, 0.0000, 0.7748) and F at (0.0000, 0.0000, 0.2491).

The calculation puts the total energy at -3.397 eV per atom. The value obtained for the energy above the most stable polymorph in this dataset is 18 meV/atom.